First-principles (PBE-GGA) data for TaN2Cl5 after structural relaxation, as listed in the Alexandria database.

Properties
energy above the most stable polymorph in this dataset: 0.0000 eV per atom
ΔE_f (raw): 0.27 eV per atom
Fermi-level density of states: 13.16 states/eV/f.u.
magnetization: 5.9 μB/f.u.
calculated total energy: -35.59 eV per formula unit

abc: 10.677 10.677 10.677
angles: 139.43 139.43 58.71
Site moments in Bohr magnetons follow the coordinates.
Fractional coordinates of all 16 atoms:
Ta 0.885 0.885 0.000  -0.05
Ta 0.115 0.115 0.000  -0.05
N 0.000 0.000 0.000  1.09
N 0.250 0.750 0.500  1.94
N 0.750 0.250 0.500  1.94
N 0.500 0.500 0.000  1.94
Cl 0.123 0.677 0.000  0.15
Cl 0.677 0.123 0.000  0.15
Cl 0.677 0.677 0.554  0.15
Cl 0.123 0.123 0.446  0.15
Cl 0.877 0.323 0.000  0.15
Cl 0.323 0.877 0.000  0.15
Cl 0.323 0.323 0.446  0.15
Cl 0.877 0.877 0.554  0.15
Cl 0.761 0.761 0.000  0.01
Cl 0.239 0.239 0.000  0.01


First-principles (PBE-GGA) data for CaNdBiTe after structural relaxation, as listed in the Alexandria database.

Properties
ΔE_f (raw): -1.22 eV per atom
Fermi-level density of states: 0.15 states/eV/f.u.
magnetization: 0.0 μB/f.u.
calculated total energy: -18.69 eV per formula unit

abc: 4.587 4.587 7.935
angles: 73.20 73.20 60.00
Fractional coordinates of all 4 atoms:
Ca 0.946 0.946 0.163
Nd 0.441 0.441 0.676
Bi 0.695 0.695 0.916
Te 0.195 0.195 0.416


First-principles (PBE-GGA) data for Rb3Pd2RhO6 after structural relaxation, as listed in the Alexandria database.

Properties
ΔE_f (raw): -0.76 eV per atom
Fermi-level density of states: 3.53 states/eV/f.u.
magnetization: 2.1 μB/f.u.
calculated total energy: -59.54 eV per formula unit

abc: 5.846 5.846 6.278
angles: 98.89 98.89 120.10
Site moments in Bohr magnetons follow the coordinates.
Fractional coordinates of all 12 atoms:
Rb 0.168 0.832 0.500  0.01
Rb 0.832 0.168 0.500  0.01
Rb 0.500 0.500 0.500  0.01
Pd 0.334 0.666 0.000  0.55
Pd 0.666 0.334 0.000  0.55
Rh 0.000 0.000 0.000  0.08
O 0.947 0.623 0.843  0.12
O 0.728 0.728 0.158  0.12
O 0.053 0.377 0.157  0.12
O 0.623 0.947 0.843  0.12
O 0.272 0.272 0.842  0.12
O 0.377 0.053 0.157  0.12


First-principles (PBE-GGA) data for Rb3Na2I3Br2 after structural relaxation, as listed in the Alexandria database.

Properties
ΔE_f (raw): -1.47 eV per atom
Fermi-level density of states: 0.00 states/eV/f.u.
magnetization: 0.0 μB/f.u.
calculated total energy: -28.29 eV per formula unit

abc: 5.334 5.334 16.780
angles: 99.14 99.14 90.00
Fractional coordinates of all 10 atoms:
Rb 0.888 0.888 0.777
Rb 0.500 0.500 0.000
Rb 0.112 0.112 0.223
Na 0.750 0.250 0.500
Na 0.250 0.750 0.500
I 0.617 0.617 0.234
I 0.383 0.383 0.766
I 0.000 0.000 0.000
Br 0.781 0.781 0.563
Br 0.219 0.219 0.437


First-principles (PBE-GGA) data for Ac3TlGa2O9 after structural relaxation, as listed in the Alexandria database.

Properties
ΔE_f (raw): -2.33 eV per atom
magnetization: 0.0 μB/f.u.
calculated total energy: -100.34 eV per formula unit

abc: 5.730 5.730 7.349
angles: 90.00 90.00 120.00
Fractional coordinates of all 15 atoms:
Ac 0.333 0.667 0.709
Ac 0.000 0.000 0.000
Ac 0.667 0.333 0.291
Tl 0.000 0.000 0.500
Ga 0.333 0.667 0.166
Ga 0.667 0.333 0.834
O 0.832 0.168 0.696
O 0.832 0.663 0.696
O 0.337 0.168 0.696
O 0.663 0.832 0.304
O 0.168 0.337 0.304
O 0.168 0.832 0.304
O 0.500 0.000 0.000
O 0.000 0.500 0.000
O 0.500 0.500 0.000


First-principles (PBE-GGA) data for Dy2HoGa3 after structural relaxation, as listed in the Alexandria database.

Properties
energy above the most stable polymorph in this dataset: 0.0818 eV per atom
Fermi-level density of states: 4.60 states/eV/f.u.
calculated formation energy: -48.4 kJ per mole of atoms
magnetization: 0.0 μB/f.u.
calculated total energy: -25.87 eV per formula unit

abc: 4.536 6.188 10.676
angles: 90.00 102.26 90.00
Fractional coordinates of all 12 atoms:
Dy 0.142 0.750 0.284
Dy 0.858 0.250 0.716
Dy 0.967 0.750 0.933
Dy 0.033 0.250 0.067
Ho 0.323 0.750 0.647
Ho 0.677 0.250 0.353
Ga 0.437 0.456 0.875
Ga 0.563 0.544 0.125
Ga 0.437 0.044 0.875
Ga 0.563 0.956 0.125
Ga 0.737 0.750 0.474
Ga 0.263 0.250 0.526


First-principles (PBE-GGA) data for FeHRu after structural relaxation, as listed in the Alexandria database.

Properties
energy above the most stable polymorph in this dataset: 0.2822 eV per atom
Fermi-level density of states: 2.50 states/eV/f.u.
magnetization: 0.7 μB/f.u.
calculated total energy: -19.97 eV per formula unit

abc: 2.741 2.741 4.377
angles: 108.25 108.25 90.00
Site moments in Bohr magnetons follow the coordinates.
Fractional coordinates of all 3 atoms:
Ru 0.666 0.666 0.332  -0.04
Fe 0.968 0.968 0.936  0.71
H 0.216 0.216 0.432  0.00


First-principles (PBE-GGA) data for TaNbBr after structural relaxation, as listed in the Alexandria database.

Properties
ΔE_f (raw): -0.25 eV per atom
Fermi-level density of states: 2.55 states/eV/f.u.
magnetization: 0.0 μB/f.u.
calculated total energy: -24.34 eV per formula unit

abc: 3.138 3.379 14.554
angles: 76.88 84.95 57.47
Fractional coordinates of all 6 atoms:
Ta 0.616 0.536 0.294
Ta 0.581 0.205 0.139
Nb 0.630 0.878 0.450
Nb 0.526 0.885 0.983
Br 0.974 0.073 0.585
Br 0.810 0.375 0.848


First-principles (PBE-GGA) data for PaInCuTc after structural relaxation, as listed in the Alexandria database.

Properties
Fermi-level density of states: 4.48 states/eV/f.u.
calculated formation energy: 5.3 kJ per mole of atoms
magnetization: 0.0 μB/f.u.
calculated total energy: -26.48 eV per formula unit

abc: 4.756 4.756 4.756
angles: 60.00 60.00 60.00
Fractional coordinates of all 4 atoms:
Pa 0.000 0.000 0.000
Tc 0.750 0.750 0.750
Cu 0.250 0.250 0.250
In 0.500 0.500 0.500


First-principles (PBE-GGA) data for Tl2InSiAu6 after structural relaxation, as listed in the Alexandria database.

Properties
ΔE_f (raw): -0.04 eV per atom
Fermi-level density of states: 4.22 states/eV/f.u.
magnetization: 0.0 μB/f.u.
calculated total energy: -32.95 eV per formula unit

abc: 6.935 7.700 8.802
angles: 90.00 90.00 90.00
Fractional coordinates of all 20 atoms:
Tl 0.500 0.674 0.304
Tl 0.000 0.326 0.804
Tl 0.500 0.674 0.696
Tl 0.000 0.326 0.196
In 0.000 0.723 0.500
In 0.500 0.277 0.000
Si 0.500 0.242 0.500
Si 0.000 0.758 0.000
Au 0.500 0.071 0.264
Au 0.500 0.071 0.736
Au 0.000 0.929 0.236
Au 0.000 0.929 0.764
Au 0.209 0.041 0.500
Au 0.791 0.041 0.500
Au 0.212 0.424 0.500
Au 0.788 0.424 0.500
Au 0.712 0.576 0.000
Au 0.288 0.576 0.000
Au 0.291 0.959 0.000
Au 0.709 0.959 0.000


First-principles (PBE-GGA) data for K2Ce2TiS6 after structural relaxation, as listed in the Alexandria database.

Properties
ΔE_f (raw): -1.64 eV per atom
Fermi-level density of states: 13.58 states/eV/f.u.
magnetization: 2.0 μB/f.u.
calculated total energy: -64.71 eV per formula unit

abc: 6.820 6.820 7.859
angles: 98.55 98.55 119.17
Site moments in Bohr magnetons follow the coordinates.
Fractional coordinates of all 11 atoms:
K 0.830 0.170 0.000  0.00
K 0.170 0.830 0.000  0.00
Ce 0.334 0.666 0.500  0.67
Ce 0.666 0.334 0.500  0.67
Ti 0.000 0.000 0.500  0.61
S 0.765 0.765 0.691  -0.02
S 0.064 0.372 0.692  -0.03
S 0.235 0.235 0.309  -0.02
S 0.372 0.064 0.692  -0.03
S 0.936 0.628 0.308  -0.03
S 0.628 0.936 0.308  -0.03


First-principles (PBE-GGA) data for SrMg9Pt2 after structural relaxation, as listed in the Alexandria database.

Properties
Fermi-level density of states: 7.02 states/eV/f.u.
calculated formation energy: -38.3 kJ per mole of atoms
magnetization: 0.0 μB/f.u.
calculated total energy: -32.88 eV per formula unit

abc: 7.719 9.151 9.151
angles: 79.75 65.06 65.06
Fractional coordinates of all 24 atoms:
Sr 0.500 0.000 0.000
Sr 0.250 0.500 0.500
Mg 0.750 0.500 0.500
Mg 0.000 0.000 0.000
Mg 0.019 0.925 0.678
Mg 0.622 0.075 0.322
Mg 0.694 0.178 0.575
Mg 0.448 0.822 0.425
Mg 0.731 0.822 0.575
Mg 0.128 0.178 0.425
Mg 0.056 0.925 0.322
Mg 0.302 0.075 0.678
Mg 0.731 0.575 0.822
Mg 0.128 0.425 0.178
Mg 0.056 0.322 0.925
Mg 0.302 0.678 0.075
Mg 0.019 0.678 0.925
Mg 0.622 0.322 0.075
Mg 0.694 0.575 0.178
Mg 0.448 0.425 0.822
Pt 0.875 0.250 0.750
Pt 0.875 0.750 0.250
Pt 0.875 0.250 0.250
Pt 0.375 0.750 0.750


First-principles (PBE-GGA) data for Te4PPb after structural relaxation, as listed in the Alexandria database.

Properties
ΔE_f (raw): 0.64 eV per atom
Fermi-level density of states: 4.51 states/eV/f.u.
magnetization: 0.0 μB/f.u.
calculated total energy: -17.83 eV per formula unit

abc: 6.303 6.303 6.303
angles: 60.00 60.00 60.00
Fractional coordinates of all 6 atoms:
Te 0.872 0.376 0.376
Te 0.376 0.376 0.872
Te 0.376 0.872 0.376
Te 0.376 0.376 0.376
P 0.750 0.750 0.750
Pb 0.000 0.000 0.000


First-principles (PBE-GGA) data for PmDy3Er2 after structural relaxation, as listed in the Alexandria database.

Properties
energy above the most stable polymorph in this dataset: 0.0138 eV per atom
Fermi-level density of states: 9.54 states/eV/f.u.
calculated formation energy: 1.0 kJ per mole of atoms
magnetization: 0.0 μB/f.u.
calculated total energy: -27.62 eV per formula unit

abc: 3.627 11.264 11.109
angles: 120.45 99.40 90.00
Fractional coordinates of all 12 atoms:
Pm 0.389 0.013 0.778
Pm 0.611 0.987 0.222
Dy 0.278 0.155 0.556
Dy 0.055 0.678 0.110
Dy 0.388 0.514 0.776
Dy 0.722 0.845 0.444
Dy 0.612 0.486 0.224
Dy 0.945 0.322 0.890
Er 0.277 0.651 0.555
Er 0.723 0.349 0.445
Er 0.943 0.816 0.887
Er 0.057 0.184 0.113


First-principles (PBE-GGA) data for Tb3Tm4Ag4 after structural relaxation, as listed in the Alexandria database.

Properties
Fermi-level density of states: 10.15 states/eV/f.u.
calculated formation energy: -11.6 kJ per mole of atoms
magnetization: 0.0 μB/f.u.
calculated total energy: -44.51 eV per formula unit

abc: 4.973 7.520 9.019
angles: 114.64 106.00 90.00
Fractional coordinates of all 11 atoms:
Tb 0.106 0.106 0.212
Tb 0.894 0.894 0.788
Tb 0.000 0.500 0.000
Tm 0.325 0.106 0.650
Tm 0.675 0.456 0.350
Tm 0.675 0.894 0.350
Tm 0.325 0.544 0.650
Ag 0.199 0.699 0.398
Ag 0.801 0.301 0.602
Ag 0.500 0.813 0.000
Ag 0.500 0.187 0.000


First-principles (PBE-GGA) data for Tl2HSe2 after structural relaxation, as listed in the Alexandria database.

Properties
energy above the most stable polymorph in this dataset: 0.0166 eV per atom
Fermi-level density of states: 1.95 states/eV/f.u.
magnetization: 0.0 μB/f.u.
calculated total energy: -15.85 eV per formula unit

abc: 4.398 8.832 12.977
angles: 31.71 99.76 90.00
Fractional coordinates of all 10 atoms:
Tl 0.373 0.818 0.746
Tl 0.628 0.682 0.254
Tl 0.627 0.182 0.254
Tl 0.372 0.318 0.746
H 0.000 0.750 0.000
H 0.000 0.250 0.000
Se 0.136 0.410 0.272
Se 0.864 0.090 0.728
Se 0.864 0.590 0.728
Se 0.136 0.910 0.272